# CePrPaGa, optimized geometry, DFT GGA-PBE
# **E**: -91.0 eV per cell
# **Crystal system**: cubic
data_CePrPaGa
_chemical_formula_sum 'Ce4 Pr4 Pa4 Ga4'
_symmetry_space_group_name_H-M 'F -4 3 m'
_symmetry_Int_Tables_number 216
_symmetry_space_group_name_Hall 'F -4 2 3'
_cell_length_a 7.4713
_cell_length_b 7.4713
_cell_length_c 7.4713
_cell_angle_alpha 90.00
_cell_angle_beta 90.00
_cell_angle_gamma 90.00
loop_
_atom_site_label
_atom_site_type_symbol
_atom_site_fract_x
_atom_site_fract_y
_atom_site_fract_z
Ce1 Ce 0.0000 0.0000 0.0000
Pr1 Pr 0.0000 0.0000 0.5000
Pa1 Pa 0.2500 0.2500 0.2500
Ga1 Ga 0.2500 0.2500 0.7500



# Ce2PaGa3Pt4, optimized geometry, DFT GGA-PBE
# **E**: -63.2 eV per cell
# **Crystal system**: tetragonal
data_Ce2PaGa3Pt4
_chemical_formula_sum 'Ce2 Pa1 Ga3 Pt4'
_symmetry_space_group_name_H-M 'P -4 m 2'
_symmetry_Int_Tables_number 115
_symmetry_space_group_name_Hall 'P -4 -2'
_cell_length_a 4.3713
_cell_length_b 4.3713
_cell_length_c 10.9470
_cell_angle_alpha 90.00
_cell_angle_beta 90.00
_cell_angle_gamma 90.00
loop_
_atom_site_label
_atom_site_type_symbol
_atom_site_fract_x
_atom_site_fract_y
_atom_site_fract_z
Ce1 Ce 0.0000 0.5000 0.2288
Pa1 Pa 0.0000 0.0000 0.5000
Ga1 Ga 0.0000 0.5000 0.8800
Ga2 Ga 0.5000 0.5000 0.5000
Pt1 Pt 0.0000 0.0000 0.0000
Pt2 Pt 0.0000 0.5000 0.6535
Pt3 Pt 0.5000 0.5000 0.0000



# CePaGa5Pt2, optimized geometry, DFT GGA-PBE
# **E**: -47.6 eV per cell
# **Crystal system**: tetragonal
data_CePaGa5Pt2
_chemical_formula_sum 'Ce1 Pa1 Ga5 Pt2'
_symmetry_space_group_name_H-M 'P 4/m m m'
_symmetry_Int_Tables_number 123
_symmetry_space_group_name_Hall '-P 4 2'
_cell_length_a 4.0944
_cell_length_b 4.0944
_cell_length_c 10.5360
_cell_angle_alpha 90.00
_cell_angle_beta 90.00
_cell_angle_gamma 90.00
loop_
_atom_site_label
_atom_site_type_symbol
_atom_site_fract_x
_atom_site_fract_y
_atom_site_fract_z
Ce1 Ce 0.0000 0.0000 0.0000
Pa1 Pa 0.0000 0.0000 0.5000
Ga1 Ga 0.0000 0.5000 0.2230
Ga2 Ga 0.5000 0.5000 0.0000
Pt1 Pt 0.5000 0.5000 0.3764



# CePaGaRu, optimized geometry, DFT GGA-PBE
# **E**: -115.2 eV per cell
# **Crystal system**: cubic
data_CePaGaRu
_chemical_formula_sum 'Ce4 Pa4 Ga4 Ru4'
_symmetry_space_group_name_H-M 'F -4 3 m'
_symmetry_Int_Tables_number 216
_symmetry_space_group_name_Hall 'F -4 2 3'
_cell_length_a 6.8341
_cell_length_b 6.8341
_cell_length_c 6.8341
_cell_angle_alpha 90.00
_cell_angle_beta 90.00
_cell_angle_gamma 90.00
loop_
_atom_site_label
_atom_site_type_symbol
_atom_site_fract_x
_atom_site_fract_y
_atom_site_fract_z
Ce1 Ce 0.0000 0.0000 0.0000
Pa1 Pa 0.2500 0.2500 0.7500
Ga1 Ga 0.2500 0.2500 0.2500
Ru1 Ru 0.0000 0.0000 0.5000



# CeSmPaGa, optimized geometry, DFT GGA-PBE
# **E**: -91.7 eV per cell
# **Crystal system**: cubic
data_CeSmPaGa
_chemical_formula_sum 'Ce4 Sm4 Pa4 Ga4'
_symmetry_space_group_name_H-M 'F -4 3 m'
_symmetry_Int_Tables_number 216
_symmetry_space_group_name_Hall 'F -4 2 3'
_cell_length_a 7.3091
_cell_length_b 7.3091
_cell_length_c 7.3091
_cell_angle_alpha 90.00
_cell_angle_beta 90.00
_cell_angle_gamma 90.00
loop_
_atom_site_label
_atom_site_type_symbol
_atom_site_fract_x
_atom_site_fract_y
_atom_site_fract_z
Ce1 Ce 0.0000 0.0000 0.0000
Sm1 Sm 0.2500 0.2500 0.7500
Pa1 Pa 0.2500 0.2500 0.2500
Ga1 Ga 0.0000 0.0000 0.5000



# CePaGaTc, optimized geometry, DFT GGA-PBE
# **E**: -118.5 eV per cell
# **Crystal system**: cubic
data_CePaGaTc
_chemical_formula_sum 'Ce4 Pa4 Ga4 Tc4'
_symmetry_space_group_name_H-M 'F -4 3 m'
_symmetry_Int_Tables_number 216
_symmetry_space_group_name_Hall 'F -4 2 3'
_cell_length_a 6.8293
_cell_length_b 6.8293
_cell_length_c 6.8293
_cell_angle_alpha 90.00
_cell_angle_beta 90.00
_cell_angle_gamma 90.00
loop_
_atom_site_label
_atom_site_type_symbol
_atom_site_fract_x
_atom_site_fract_y
_atom_site_fract_z
Ce1 Ce 0.0000 0.0000 0.0000
Pa1 Pa 0.2500 0.2500 0.2500
Ga1 Ga 0.2500 0.2500 0.7500
Tc1 Tc 0.0000 0.0000 0.5000



Question: Among the records above, which one has the highest E?
Answer: CePaGa5Pt2